Run one
NiP3O9 | SCAN | single point on PBEsol structure

Cell lengths 8.125, 8.211, 8.620 Å; angles 90.00, 90.00, 90.00 degrees
Fractional coordinates of all 52 atoms:
1 Ni 0.138 0.140 0.146
2 Ni 0.362 0.860 0.646
3 Ni 0.638 0.360 0.854
4 Ni 0.862 0.640 0.354
5 P 0.032 0.682 0.689
6 P 0.168 0.507 0.197
7 P 0.210 0.192 0.553
8 P 0.290 0.808 0.053
9 P 0.332 0.493 0.697
10 P 0.468 0.318 0.189
11 P 0.532 0.818 0.311
12 P 0.668 0.993 0.803
13 P 0.710 0.308 0.447
14 P 0.790 0.692 0.947
15 P 0.832 0.007 0.303
16 P 0.968 0.182 0.811
17 O 0.044 0.233 0.648
18 O 0.085 0.361 0.127
19 O 0.091 0.592 0.335
20 O 0.103 0.123 0.914
21 O 0.138 0.819 0.624
22 O 0.149 0.537 0.750
23 O 0.164 0.159 0.390
24 O 0.180 0.918 0.149
25 O 0.200 0.633 0.059
26 O 0.300 0.367 0.559
27 O 0.320 0.082 0.649
28 O 0.336 0.841 0.890
29 O 0.351 0.463 0.250
30 O 0.362 0.181 0.124
31 O 0.397 0.877 0.414
32 O 0.409 0.408 0.835
33 O 0.415 0.639 0.627
34 O 0.456 0.767 0.148
35 O 0.544 0.267 0.352
36 O 0.585 0.139 0.873
37 O 0.591 0.908 0.665
38 O 0.603 0.377 0.086
39 O 0.638 0.681 0.376
40 O 0.649 0.963 0.250
41 O 0.664 0.341 0.610
42 O 0.680 0.582 0.851
43 O 0.700 0.867 0.941
44 O 0.800 0.133 0.441
45 O 0.820 0.418 0.351
46 O 0.836 0.659 0.110
47 O 0.851 0.037 0.750
48 O 0.862 0.319 0.876
49 O 0.897 0.623 0.586
50 O 0.909 0.092 0.165
51 O 0.915 0.861 0.373
52 O 0.956 0.733 0.852

Computed properties:
ρ = 3.4 g/cm3
V = 575.0 Å³ per cell
total moment = 0.0766 μB/atom

---

Run two
NiP3O9 | SCAN | single point on PBEsol structure

Cell lengths 11.347, 11.347, 9.148 Å; angles 109.18, 109.18, 111.43 degrees
Fractional coordinates of all 78 atoms:
1 Ni 0.079 0.921 0.500
2 Ni 0.221 0.736 0.965
3 Ni 0.412 0.591 0.507
4 Ni 0.591 0.412 0.007
5 Ni 0.736 0.221 0.465
6 Ni 0.921 0.079 0.000
7 P 0.148 0.550 0.145
8 P 0.212 0.490 0.656
9 P 0.256 0.287 0.780
10 P 0.259 0.990 0.307
11 P 0.287 0.256 0.280
12 P 0.312 0.928 0.802
13 P 0.490 0.212 0.156
14 P 0.550 0.148 0.645
15 P 0.563 0.927 0.750
16 P 0.574 0.871 0.212
17 P 0.614 0.671 0.346
18 P 0.671 0.614 0.846
19 P 0.841 0.899 0.185
20 P 0.871 0.574 0.712
21 P 0.899 0.841 0.685
22 P 0.927 0.563 0.250
23 P 0.928 0.312 0.302
24 P 0.990 0.259 0.807
25 O 0.011 0.654 0.888
26 O 0.018 0.404 0.958
27 O 0.034 0.934 0.684
28 O 0.056 0.607 0.208
29 O 0.074 0.355 0.464
30 O 0.126 0.907 0.317
31 O 0.144 0.186 0.116
32 O 0.153 0.297 0.861
33 O 0.158 0.546 0.776
34 O 0.186 0.144 0.616
35 O 0.208 0.796 0.798
36 O 0.228 0.513 0.270
37 O 0.246 0.918 0.129
38 O 0.247 0.668 0.124
39 O 0.249 0.926 0.627
40 O 0.286 0.410 0.724
41 O 0.297 0.153 0.361
42 O 0.315 0.605 0.636
43 O 0.346 0.396 0.449
44 O 0.355 0.074 0.964
45 O 0.396 0.346 0.949
46 O 0.404 0.018 0.458
47 O 0.410 0.286 0.224
48 O 0.435 0.824 0.054
49 O 0.466 0.946 0.840
50 O 0.470 0.787 0.567
51 O 0.509 0.573 0.381
52 O 0.513 0.228 0.770
53 O 0.540 0.744 0.260
54 O 0.546 0.158 0.276
55 O 0.573 0.509 0.881
56 O 0.596 0.663 0.734
57 O 0.605 0.315 0.136
58 O 0.607 0.056 0.708
59 O 0.654 0.011 0.388
60 O 0.663 0.596 0.234
61 O 0.668 0.247 0.624
62 O 0.679 0.863 0.132
63 O 0.700 0.959 0.893
64 O 0.744 0.540 0.760
65 O 0.755 0.812 0.534
66 O 0.787 0.470 0.067
67 O 0.796 0.208 0.298
68 O 0.812 0.755 0.034
69 O 0.824 0.435 0.554
70 O 0.863 0.679 0.632
71 O 0.907 0.126 0.817
72 O 0.907 0.912 0.367
73 O 0.912 0.907 0.867
74 O 0.918 0.246 0.629
75 O 0.926 0.249 0.127
76 O 0.934 0.034 0.184
77 O 0.946 0.466 0.340
78 O 0.959 0.700 0.393

Computed properties:
ρ = 3.3 g/cm3
V = 890.7 Å³ per cell
total moment = 0.0769 μB/atom

---

Run three
NiP3O9 | SCAN | single point on PBEsol structure

Cell lengths 6.308, 10.424, 9.383 Å; angles 90.00, 90.00, 90.00 degrees
Fractional coordinates of all 52 atoms:
1 Ni 0.000 0.000 0.000
2 Ni 0.000 0.500 0.500
3 Ni 0.500 0.000 0.500
4 Ni 0.500 0.500 0.000
5 P 0.137 0.131 0.287
6 P 0.137 0.369 0.787
7 P 0.250 0.750 0.072
8 P 0.250 0.750 0.572
9 P 0.363 0.131 0.787
10 P 0.363 0.369 0.287
11 P 0.637 0.631 0.713
12 P 0.637 0.869 0.213
13 P 0.750 0.250 0.428
14 P 0.750 0.250 0.928
15 P 0.863 0.631 0.213
16 P 0.863 0.869 0.713
17 O 0.092 0.690 0.183
18 O 0.092 0.810 0.683
19 O 0.114 0.021 0.184
20 O 0.114 0.479 0.684
21 O 0.149 0.652 0.476
22 O 0.149 0.848 0.976
23 O 0.244 0.099 0.424
24 O 0.244 0.401 0.924
25 O 0.250 0.250 0.207
26 O 0.250 0.250 0.707
27 O 0.256 0.099 0.924
28 O 0.256 0.401 0.424
29 O 0.351 0.652 0.976
30 O 0.351 0.848 0.476
31 O 0.386 0.021 0.684
32 O 0.386 0.479 0.184
33 O 0.408 0.690 0.683
34 O 0.408 0.810 0.183
35 O 0.592 0.190 0.817
36 O 0.592 0.310 0.317
37 O 0.614 0.521 0.816
38 O 0.614 0.979 0.316
39 O 0.649 0.152 0.524
40 O 0.649 0.348 0.024
41 O 0.744 0.599 0.576
42 O 0.744 0.901 0.076
43 O 0.750 0.750 0.293
44 O 0.750 0.750 0.793
45 O 0.756 0.599 0.076
46 O 0.756 0.901 0.576
47 O 0.851 0.152 0.024
48 O 0.851 0.348 0.524
49 O 0.886 0.521 0.316
50 O 0.886 0.979 0.816
51 O 0.908 0.190 0.317
52 O 0.908 0.310 0.817

Computed properties:
ρ = 3.2 g/cm3
V = 616.9 Å³ per cell
total moment = 0.0769 μB/atom

---

Relative energies with respect to the most stable structure, expressed in eV/atom: run one 0.021; run two 0.005; run three 0.000.

---

Run one
Ni2P2O7 | SCAN | single point on PBEsol structure

Cell lengths 5.185, 5.185, 4.450 Å; angles 97.53, 97.53, 104.37 degrees
Fractional coordinates of all 11 atoms:
1 Ni 0.186 0.814 0.000
2 Ni 0.814 0.186 0.000
3 P 0.276 0.276 0.593
4 P 0.724 0.724 0.407
5 O 0.111 0.424 0.778
6 O 0.117 0.117 0.280
7 O 0.424 0.111 0.778
8 O 0.500 0.500 0.500
9 O 0.576 0.889 0.222
10 O 0.883 0.883 0.720
11 O 0.889 0.576 0.222

Computed properties:
ρ = 4.3 g/cm3
N(E_F) = 0.0 states/eV/cell
V = 113.2 Å³ per cell
total moment = 0.3595 μB/atom

---

Run two
Ni2P2O7 | SCAN | single point on PBEsol structure

Cell lengths 6.910, 8.219, 8.919 Å; angles 90.00, 113.68, 90.00 degrees
Fractional coordinates of all 44 atoms:
1 Ni 0.192 0.060 0.319
2 Ni 0.192 0.440 0.819
3 Ni 0.269 0.074 0.890
4 Ni 0.269 0.426 0.390
5 Ni 0.731 0.574 0.610
6 Ni 0.731 0.926 0.110
7 Ni 0.808 0.560 0.181
8 Ni 0.808 0.940 0.681
9 P 0.029 0.725 0.966
10 P 0.029 0.775 0.466
11 P 0.440 0.731 0.258
12 P 0.440 0.769 0.758
13 P 0.560 0.231 0.242
14 P 0.560 0.269 0.742
15 P 0.971 0.225 0.534
16 P 0.971 0.275 0.034
17 O 0.026 0.085 0.659
18 O 0.026 0.415 0.159
19 O 0.053 0.610 0.395
20 O 0.053 0.890 0.895
21 O 0.123 0.237 0.447
22 O 0.123 0.263 0.947
23 O 0.252 0.667 0.095
24 O 0.252 0.833 0.595
25 O 0.374 0.240 0.296
26 O 0.374 0.260 0.796
27 O 0.382 0.609 0.810
28 O 0.382 0.891 0.310
29 O 0.478 0.592 0.383
30 O 0.478 0.908 0.883
31 O 0.522 0.092 0.117
32 O 0.522 0.408 0.617
33 O 0.618 0.109 0.690
34 O 0.618 0.391 0.190
35 O 0.626 0.740 0.204
36 O 0.626 0.760 0.704
37 O 0.748 0.167 0.405
38 O 0.748 0.333 0.905
39 O 0.877 0.737 0.053
40 O 0.877 0.763 0.553
41 O 0.947 0.110 0.105
42 O 0.947 0.390 0.605
43 O 0.974 0.585 0.841
44 O 0.974 0.915 0.341

Computed properties:
ρ = 4.2 g/cm3
N(E_F) = 0.0 states/eV/cell
V = 463.9 Å³ per cell
total moment = 0.3585 μB/atom

---

Relative energies with respect to the most stable structure, expressed in eV/atom: run one 0.008; run two 0.000.

---

Run one
ZnNiP2O7 | SCAN | single point on PBEsol structure

Cell lengths 5.510, 6.293, 7.287 Å; angles 82.60, 87.62, 71.81 degrees
Fractional coordinates of all 22 atoms:
1 Zn 0.178 0.345 0.341
2 Zn 0.822 0.655 0.659
3 Ni 0.239 0.840 0.800
4 Ni 0.761 0.160 0.200
5 P 0.267 0.804 0.391
6 P 0.311 0.314 0.905
7 P 0.689 0.686 0.095
8 P 0.733 0.196 0.609
9 O 0.105 0.048 0.327
10 O 0.107 0.644 0.429
11 O 0.141 0.553 0.833
12 O 0.195 0.130 0.885
13 O 0.408 0.308 0.101
14 O 0.435 0.720 0.218
15 O 0.438 0.792 0.556
16 O 0.562 0.208 0.444
17 O 0.565 0.280 0.782
18 O 0.592 0.692 0.899
19 O 0.805 0.870 0.115
20 O 0.859 0.447 0.167
21 O 0.893 0.356 0.571
22 O 0.895 0.952 0.673

Computed properties:
ρ = 4.2 g/cm3
N(E_F) = 0.0 states/eV/cell
V = 238.0 Å³ per cell
total moment = 0.1796 μB/atom

---

Run two
ZnNiP2O7 | SCAN | single point on PBEsol structure

Cell lengths 6.939, 8.275, 8.966 Å; angles 90.00, 113.80, 90.00 degrees
Fractional coordinates of all 44 atoms:
1 Zn 0.196 0.055 0.319
2 Zn 0.196 0.445 0.819
3 Zn 0.804 0.555 0.181
4 Zn 0.804 0.945 0.681
5 Ni 0.273 0.076 0.891
6 Ni 0.273 0.424 0.391
7 Ni 0.727 0.576 0.609
8 Ni 0.727 0.924 0.109
9 P 0.027 0.728 0.967
10 P 0.027 0.772 0.467
11 P 0.442 0.730 0.261
12 P 0.442 0.770 0.761
13 P 0.558 0.230 0.239
14 P 0.558 0.270 0.739
15 P 0.973 0.228 0.533
16 P 0.973 0.272 0.033
17 O 0.025 0.090 0.658
18 O 0.025 0.410 0.158
19 O 0.056 0.608 0.400
20 O 0.056 0.892 0.900
21 O 0.131 0.236 0.453
22 O 0.131 0.264 0.953
23 O 0.246 0.670 0.102
24 O 0.246 0.830 0.602
25 O 0.379 0.240 0.299
26 O 0.379 0.260 0.799
27 O 0.394 0.612 0.823
28 O 0.394 0.888 0.323
29 O 0.481 0.589 0.382
30 O 0.481 0.911 0.882
31 O 0.519 0.089 0.118
32 O 0.519 0.411 0.618
33 O 0.606 0.112 0.677
34 O 0.606 0.388 0.177
35 O 0.621 0.740 0.201
36 O 0.621 0.760 0.701
37 O 0.754 0.170 0.398
38 O 0.754 0.330 0.898
39 O 0.869 0.736 0.047
40 O 0.869 0.764 0.547
41 O 0.944 0.108 0.100
42 O 0.944 0.392 0.600
43 O 0.975 0.590 0.842
44 O 0.975 0.910 0.342

Computed properties:
ρ = 4.2 g/cm3
N(E_F) = 0.0 states/eV/cell
V = 471.0 Å³ per cell
total moment = 0.1838 μB/atom

---

Relative energies with respect to the most stable structure, expressed in eV/atom: run one 0.015; run two 0.000.